First-principles (PBE with a Hubbard U) data for a geometry-optimized Rb2V3O8 structure, as listed in Alexandria.

Results
**Fermi-level density of states**: 0.00 states/eV per cell
**E above lowest polymorph**: 0.0000 eV per atom

Structure (POSCAR):
```
Rb2V3O8
1.0
9.0534 0.0000 0.0000
0.0000 9.0534 0.0000
0.0000 0.0000 5.7873
Rb V O
4 6 16
direct
0.1703 0.6703 0.9997 Rb
0.6703 0.8297 0.9997 Rb
0.3297 0.1703 0.9997 Rb
0.8297 0.3297 0.9997 Rb
0.3663 0.8663 0.5263 V
0.8663 0.6337 0.5263 V
0.1337 0.3663 0.5263 V
0.6337 0.1337 0.5263 V
0.5000 0.5000 0.5325 V
0.0000 0.0000 0.5325 V
0.5000 0.5000 0.2486 O
0.0000 0.0000 0.2486 O
0.8073 0.0854 0.6333 O
0.1927 0.9146 0.6333 O
0.9146 0.8073 0.6333 O
0.0854 0.1927 0.6333 O
0.4146 0.6927 0.6333 O
0.6927 0.5854 0.6333 O
0.3073 0.4146 0.6333 O
0.5854 0.3073 0.6333 O
0.5000 0.0000 0.6394 O
0.0000 0.5000 0.6394 O
0.6305 0.1305 0.2384 O
0.1305 0.3695 0.2384 O
0.8695 0.6305 0.2384 O
0.3695 0.8695 0.2384 O
```